[1]
# PBE-GGA ScBPd2, relaxed
# magnetization: 0.00 Bohr magnetons per cell
# total DFT energy (no corrections): -0.217 hartree per atom
# V: 14.535 Å³/atom
data_ScBPd2
_space_group_name_H-M_alt 'F -4 3 m'
_space_group_IT_number 216
_space_group_name_Hall 'F -4 2 3'
_cell_length_a 6.150
_cell_length_b 6.150
_cell_length_c 6.150
_cell_angle_alpha 90.00
_cell_angle_beta 90.00
_cell_angle_gamma 90.00
loop_
_atom_site_label
_atom_site_fract_x
_atom_site_fract_y
_atom_site_fract_z
_atom_site_occupancy
Sc1 0.000 0.000 0.000 1
B1 0.250 0.250 0.750 1
Pd1 0.000 0.000 0.500 1
Pd2 0.250 0.250 0.250 1


[2]
# PBE-GGA ScB4Pd, relaxed
# magnetization: 0.04 Bohr magnetons per cell
# total DFT energy (no corrections): -0.249 hartree per atom
# V: 9.789 Å³/atom
data_ScB4Pd
_space_group_name_H-M_alt 'P b a m'
_space_group_IT_number 55
_cell_length_a 5.884
_cell_length_b 11.408
_cell_length_c 3.500
_cell_angle_alpha 90.00
_cell_angle_beta 90.00
_cell_angle_gamma 90.00
loop_
_space_group_symop_operation_xyz
'x,y,z'
'-x,-y,-z'
'-x,-y,z'
'x,y,-z'
'x+1/2,-y+1/2,-z'
'-x+1/2,y+1/2,z'
'-x+1/2,y+1/2,-z'
'x+1/2,-y+1/2,z'
loop_
_atom_site_label
_atom_site_fract_x
_atom_site_fract_y
_atom_site_fract_z
_atom_site_occupancy
Sc1 0.128 0.149 0.000 1
B1 0.024 0.695 0.500 1
B2 0.119 0.551 0.500 1
B3 0.132 0.969 0.500 1
B4 0.202 0.813 0.500 1
Pd1 0.140 0.405 0.000 1


[3]
# PBE-GGA ScBPd, relaxed
# magnetization: 2.90 Bohr magnetons per cell
# total DFT energy (no corrections): -0.217 hartree per atom
# V: 16.330 Å³/atom
data_ScBPd
_space_group_name_H-M_alt 'F -4 3 m'
_space_group_IT_number 216
_space_group_name_Hall 'F -4 2 3'
_cell_length_a 5.808
_cell_length_b 5.808
_cell_length_c 5.808
_cell_angle_alpha 90.00
_cell_angle_beta 90.00
_cell_angle_gamma 90.00
loop_
_atom_site_label
_atom_site_fract_x
_atom_site_fract_y
_atom_site_fract_z
_atom_site_occupancy
Sc1 0.000 0.000 0.000 1
B1 0.000 0.000 0.500 1
Pd1 0.250 0.250 0.750 1


[4]
# PBE-GGA ScB4Pd, relaxed
# magnetization: 0.00 Bohr magnetons per cell
# total DFT energy (no corrections): -0.248 hartree per atom
# V: 9.684 Å³/atom
data_ScB4Pd
_space_group_name_H-M_alt 'I m m m'
_space_group_IT_number 71
_space_group_name_Hall '-I 2 2'
_cell_length_a 3.104
_cell_length_b 5.264
_cell_length_c 7.114
_cell_angle_alpha 90.00
_cell_angle_beta 90.00
_cell_angle_gamma 90.00
loop_
_atom_site_label
_atom_site_fract_x
_atom_site_fract_y
_atom_site_fract_z
_atom_site_occupancy
Sc1 0.000 0.000 0.000 1
B1 0.000 0.324 0.260 1
Pd1 0.000 0.000 0.500 1


[5]
# PBE-GGA SiB4Pd, relaxed
# total DFT energy (no corrections): -0.215 hartree per atom
# V: 9.155 Å³/atom
data_SiB4Pd
_space_group_name_H-M_alt 'I m m m'
_space_group_IT_number 71
_space_group_name_Hall '-I 2 2'
_cell_length_a 3.027
_cell_length_b 5.352
_cell_length_c 6.781
_cell_angle_alpha 90.00
_cell_angle_beta 90.00
_cell_angle_gamma 90.00
loop_
_atom_site_label
_atom_site_fract_x
_atom_site_fract_y
_atom_site_fract_z
_atom_site_occupancy
Si1 0.000 0.000 0.000 1
B1 0.000 0.333 0.254 1
Pd1 0.000 0.000 0.500 1


[6]
# PBE-GGA SiB4Pd, relaxed
# total DFT energy (no corrections): -0.219 hartree per atom
# V: 8.905 Å³/atom
data_SiB4Pd
_space_group_name_H-M_alt 'P 6/m m m'
_space_group_IT_number 191
_space_group_name_Hall '-P 6 2'
_cell_length_a 3.0123
_cell_length_b 3.0123
_cell_length_c 6.7992
_cell_angle_alpha 90.00
_cell_angle_beta 90.00
_cell_angle_gamma 120.00
loop_
_atom_site_label
_atom_site_fract_x
_atom_site_fract_y
_atom_site_fract_z
_atom_site_occupancy
Si1 0.0000 0.0000 0.0000 1
B1 0.3333 0.6667 0.2328 1
Pd1 0.0000 0.0000 0.5000 1